(1)
Density functional theory data (PBE) for a relaxed NaNd2Si crystal.

Lattice parameters (Å, degrees): 4.072 4.072 32.822 90.00 90.00 120.00
Fractional coordinates of all 12 atoms:
Na: 0.000 0.000 0.000
Na: 0.333 0.667 0.667
Na: 0.667 0.333 0.333
Nd: 0.000 0.000 0.116
Nd: 0.000 0.000 0.884
Nd: 0.333 0.667 0.551
Nd: 0.333 0.667 0.783
Nd: 0.667 0.333 0.217
Nd: 0.667 0.333 0.449
Si: 0.000 0.000 0.500
Si: 0.333 0.667 0.167
Si: 0.667 0.333 0.833

Summary:
**ρ**: 3.6 g/cm³
**E**: -4.18 eV/atom

=====

(2)
Density functional theory data (PBE) for a relaxed Na2NdSiTe4 crystal.

Lattice parameters (Å, degrees): 8.893 8.893 8.893 123.01 117.84 89.33
Fractional coordinates of all 16 atoms:
Na: 0.000 0.000 0.000
Na: 0.500 0.000 0.000
Na: 0.500 0.000 0.500
Na: 0.500 0.500 0.500
Nd: 0.000 0.500 0.500
Nd: 0.500 0.500 0.000
Si: 0.000 0.000 0.500
Si: 0.000 0.500 0.000
Te: 0.214 0.250 0.964
Te: 0.214 0.750 0.464
Te: 0.230 0.228 0.498
Te: 0.230 0.733 0.002
Te: 0.770 0.267 0.998
Te: 0.770 0.772 0.502
Te: 0.786 0.250 0.536
Te: 0.786 0.750 0.036

Summary:
**ρ**: 4.9 g/cm³
**E**: -3.91 eV/atom

=====

(3)
Density functional theory data (PBE) for a relaxed NaNdSmSn crystal.

Lattice parameters (Å, degrees): 7.721 7.721 7.721 90.00 90.00 90.00
Fractional coordinates of all 16 atoms:
Na: 0.000 0.000 0.000
Na: 0.000 0.500 0.500
Na: 0.500 0.000 0.500
Na: 0.500 0.500 0.000
Nd: 0.250 0.250 0.750
Nd: 0.250 0.750 0.250
Nd: 0.750 0.250 0.250
Nd: 0.750 0.750 0.750
Sm: 0.250 0.250 0.250
Sm: 0.250 0.750 0.750
Sm: 0.750 0.250 0.750
Sm: 0.750 0.750 0.250
Sn: 0.000 0.000 0.500
Sn: 0.000 0.500 0.000
Sn: 0.500 0.000 0.000
Sn: 0.500 0.500 0.500

Summary:
**ρ**: 6.3 g/cm³
**Energy relative to the elements**: -0.329 eV per atom

=====

For reference, total magnetic moment by record: 0.00, 0.00, 0.01 μB per formula unit.